# PBE Tb3Nd4Dy, optimized geometry
data_Tb3Nd4Dy
_symmetry_space_group_name_H-M 'P m n 21'
_symmetry_Int_Tables_number 31
_cell_length_a 11.6501
_cell_length_b 7.3426
_cell_length_c 6.3327
_cell_angle_alpha 90.00
_cell_angle_beta 90.00
_cell_angle_gamma 90.00
loop_
_symmetry_equiv_pos_as_xyz
'x,y,z'
'-x+1/2,-y,z+1/2'
'-x,y,z'
'x+1/2,-y,z+1/2'
loop_
_atom_site_label
_atom_site_type_symbol
_atom_site_fract_x
_atom_site_fract_y
_atom_site_fract_z
Tb1 Tb 0.0000 0.1221 0.0000
Tb2 Tb 0.2501 0.1221 0.3325
Nd1 Nd 0.0000 0.3729 0.4993
Nd2 Nd 0.0000 0.6273 0.9983
Nd3 Nd 0.2504 0.3721 0.8339
Dy1 Dy 0.0000 0.8786 0.4997
# ΔH_f (0 K)   0.029 eV/atom
# Energy relative to the lowest polymorph listed for this composition   0 meV/atom
# Mass density   7456 kg/m3
# Calculated total energy   -4.67 eV/atom
# DOS at the Fermi energy   28.7 states/eV/cell

# PBE LiTePt2, optimized geometry
data_LiTePt2
_symmetry_space_group_name_H-M 'I 4/m m m'
_symmetry_Int_Tables_number 139
_symmetry_space_group_name_Hall '-I 4 2'
_cell_length_a 4.0590
_cell_length_b 4.0590
_cell_length_c 8.1273
_cell_angle_alpha 90.00
_cell_angle_beta 90.00
_cell_angle_gamma 90.00
loop_
_atom_site_label
_atom_site_type_symbol
_atom_site_fract_x
_atom_site_fract_y
_atom_site_fract_z
Li1 Li 0.0000 0.0000 0.0000
Te1 Te 0.0000 0.0000 0.5000
Pt1 Pt 0.0000 0.5000 0.2500
# Mass density   13014 kg/m3
# Calculated total energy   -4.64 eV/atom
# ΔE_f (raw)   -351 meV/atom
# DOS at the Fermi energy   5.6 states/eV/cell

# PBE Ca3ReGe, optimized geometry
data_Ca3ReGe
_symmetry_space_group_name_H-M 'P m -3 m'
_symmetry_Int_Tables_number 221
_symmetry_space_group_name_Hall '-P 4 2 3'
_cell_length_a 5.5676
_cell_length_b 5.5676
_cell_length_c 5.5676
_cell_angle_alpha 90.00
_cell_angle_beta 90.00
_cell_angle_gamma 90.00
loop_
_atom_site_label
_atom_site_type_symbol
_atom_site_fract_x
_atom_site_fract_y
_atom_site_fract_z
Ca1 Ca 0.0000 0.0000 0.5000
Re1 Re 0.5000 0.5000 0.5000
Ge1 Ge 0.0000 0.0000 0.0000
# ΔH_f (0 K)   0.853 eV/atom
# Energy relative to the lowest polymorph listed for this composition   47 meV/atom
# Mass density   3647 kg/m3
# Calculated total energy   -3.76 eV/atom
# DOS at the Fermi energy   2.9 states/eV/cell

# PBE CsMgPC, optimized geometry
data_CsMgPC
_symmetry_space_group_name_H-M 'C 1 m 1'
_symmetry_Int_Tables_number 8
_cell_length_a 13.7528
_cell_length_b 3.2003
_cell_length_c 4.3691
_cell_angle_alpha 90.00
_cell_angle_beta 106.32
_cell_angle_gamma 90.00
loop_
_symmetry_equiv_pos_as_xyz
'x,y,z'
'x,-y,z'
'x+1/2,y+1/2,z'
'x+1/2,-y+1/2,z'
loop_
_atom_site_label
_atom_site_type_symbol
_atom_site_fract_x
_atom_site_fract_y
_atom_site_fract_z
Cs1 Cs 0.0000 0.0000 0.0000
Mg1 Mg 0.2719 0.0000 0.2833
P1 P 0.1992 0.5000 0.6674
C1 C 0.2821 0.0000 0.7935
# ΔH_f (0 K)   0.381 eV/atom
# Energy relative to the lowest polymorph listed for this composition   125 meV/atom
# Mass density   3603 kg/m3
# Calculated total energy   -3.89 eV/atom
# DOS at the Fermi energy   1.1 states/eV/cell

# PBE ZrScHg, optimized geometry
data_ZrScHg
_symmetry_space_group_name_H-M 'P 3 m 1'
_symmetry_Int_Tables_number 156
_cell_length_a 3.2848
_cell_length_b 3.2848
_cell_length_c 7.4520
_cell_angle_alpha 90.00
_cell_angle_beta 90.00
_cell_angle_gamma 120.00
loop_
_symmetry_equiv_pos_as_xyz
'x,y,z'
'-y,x-y,z'
'-x+y,-x,z'
'-y,-x,z'
'-x+y,y,z'
'x,x-y,z'
loop_
_atom_site_label
_atom_site_type_symbol
_atom_site_fract_x
_atom_site_fract_y
_atom_site_fract_z
Zr1 Zr 0.0000 0.0000 0.0000
Sc1 Sc 0.6667 0.3333 0.6661
Hg1 Hg 0.3333 0.6667 0.3380
# ΔH_f (0 K)   -0.121 eV/atom
# Energy relative to the lowest polymorph listed for this composition   134 meV/atom
# Mass density   8031 kg/m3
# Calculated total energy   -5.18 eV/atom
# DOS at the Fermi energy   4.9 states/eV/cell

# PBE TiSb2AsI, optimized geometry
data_TiSb2AsI
_symmetry_space_group_name_H-M 'P 4/m m m'
_symmetry_Int_Tables_number 123
_symmetry_space_group_name_Hall '-P 4 2'
_cell_length_a 5.4070
_cell_length_b 5.4070
_cell_length_c 5.1543
_cell_angle_alpha 90.00
_cell_angle_beta 90.00
_cell_angle_gamma 90.00
loop_
_atom_site_label
_atom_site_type_symbol
_atom_site_fract_x
_atom_site_fract_y
_atom_site_fract_z
Ti1 Ti 0.0000 0.0000 0.0000
Sb1 Sb 0.0000 0.5000 0.0000
As1 As 0.5000 0.5000 0.5000
I1 I 0.0000 0.0000 0.5000
# Energy relative to the lowest polymorph listed for this composition   0 meV/atom
# Mass density   5435 kg/m3
# Calculated total energy   -4.01 eV/atom
# ΔE_f (raw)   457 meV/atom
# DOS at the Fermi energy   5.4 states/eV/cell

# PBE PmTm2, optimized geometry
data_PmTm2
_symmetry_space_group_name_H-M 'P -1'
_symmetry_Int_Tables_number 2
_cell_length_a 3.5442
_cell_length_b 7.0905
_cell_length_c 7.8908
_cell_angle_alpha 103.07
_cell_angle_beta 102.89
_cell_angle_gamma 90.11
loop_
_symmetry_equiv_pos_as_xyz
'x,y,z'
'-x,-y,-z'
loop_
_atom_site_label
_atom_site_type_symbol
_atom_site_fract_x
_atom_site_fract_y
_atom_site_fract_z
Pm1 Pm 0.1661 0.0844 0.3322
Tm1 Tm 0.1655 0.5811 0.3310
Tm2 Tm 0.5001 0.2542 0.9999
# ΔH_f (0 K)   0.023 eV/atom
# Energy relative to the lowest polymorph listed for this composition   1 meV/atom
# Mass density   8530 kg/m3
# Calculated total energy   -4.54 eV/atom
# DOS at the Fermi energy   8.3 states/eV/cell